No. 1
Below is a geometry-optimized TaTeF2 structure, with properties calculated at the PBE level.

Cell: 6.2517 6.2517 6.2517 Å, 90.00 90.00 90.00°
Closest atoms and distances in Å follow each position.
Space group Fm-3m (No. 225)
Unique sites:
Ta (0.0000, 0.0000, 0.0000) x4  8 F 2.71
Te (0.0000, 0.0000, 0.5000) x4  8 F 2.71
F (0.2500, 0.2500, 0.2500) x8  4 Te 2.71, 4 Ta 2.71

Output
Spin magnetization, μB/atom: 0.180
Formation energy (no corrections), eV/atom: -0.4880


No. 2
Below is a geometry-optimized Tl5HgPd3 structure, with properties calculated at the PBE level.

Cell: 15.0249 6.6980 9.4419 Å, 90.00 108.34 90.00°
Closest atoms and distances in Å follow each position.
Space group C2/c (No. 15)
Unique sites:
Tl (0.0000, 0.2485, 0.2500) x4  4 Pd 2.89-2.90
Tl (0.1649, 0.2515, 0.0788) x8  4 Pd 2.88-2.93
Tl (0.1662, 0.2512, 0.5868) x8  4 Pd 2.88-2.92
Hg (0.0000, 0.2480, 0.7500) x4  4 Pd 2.90-2.91
Pd (0.0000, 0.5000, 0.0000) x4  6 Tl 2.88-2.90, 2 Hg 2.90
Pd (0.1669, 0.0026, 0.3336) x8  7 Tl 2.88-2.93, 1 Hg 2.91

Output
Spin magnetization, μB/atom: 0.000
DFT formation energy, kJ/mol of atoms: -9


No. 3
Below is a geometry-optimized Er6In3Pb structure, with properties calculated at the PBE level.

Cell: 9.7225 17.5915 6.6886 Å, 90.00 90.00 90.00°
Closest atoms and distances in Å follow each position.
Space group Cmc2_1 (No. 36)
Unique sites:
Er (0.0000, 0.0122, 0.0000) x4  2 Pb 3.09-3.23, 4 In 3.20-3.28, 2 Er 3.37
Er (0.0000, 0.2966, 0.9918) x4  1 Pb 3.14, 1 In 3.27, 2 Er 3.35
Er (0.1797, 0.2726, 0.4755) x8  3 In 3.09-3.20, 1 Pb 3.20, 2 Er 3.35-3.46
Er (0.1935, 0.4437, 0.2226) x8  4 In 3.15-3.30, 1 Pb 3.42, 1 Er 3.46
In (0.0000, 0.4153, 0.6153) x4  2 In 3.14, 7 Er 3.19-3.27
In (0.2002, 0.1116, 0.2764) x8  6 Er 3.09-3.30, 1 In 3.14
Pb (0.0000, 0.1515, 0.7194) x4  7 Er 3.09-3.42

Output
Spin magnetization, μB/atom: 0.000
DFT formation energy, kJ/mol of atoms: -25


No. 4
Below is a geometry-optimized BaPrCu2 structure, with properties calculated at the PBE level.

Cell: 3.8000 3.8000 7.5470 Å, 90.00 90.00 90.00°
Closest atoms and distances in Å follow each position.
Space group P4/mmm (No. 123)
Unique sites:
Ba (0.0000, 0.0000, 0.0000) x1  8 Cu 3.58, 2 Pr 3.77, 4 Ba 3.80
Pr (0.0000, 0.0000, 0.5000) x1  8 Cu 3.04
Cu (0.5000, 0.5000, 0.3125) x2  1 Cu 2.83, 4 Pr 3.04

Output
Spin magnetization, μB/atom: 0.000
DFT formation energy, kJ/mol of atoms: -4


No. 5
Below is a geometry-optimized Nd2U2S7 structure, with properties calculated at the PBE level.

Cell: 3.9509 14.1944 8.6907 Å, 90.00 90.00 90.00°
Closest atoms and distances in Å follow each position.
Space group Imm2 (No. 44)
Unique sites:
Nd (0.0000, 0.0000, 0.0000) x2  7 S 2.75-2.92
Nd (0.0000, 0.5000, 0.0408) x2  8 S 2.78-3.01
U (0.0000, 0.2416, 0.2447) x4  7 S 2.70-2.92
S (0.0000, 0.0000, 0.3161) x2  3 Nd 2.75-2.78
S (0.0000, 0.1156, 0.7214) x4  2 U 2.84, 3 Nd 2.92-3.01
S (0.0000, 0.3113, 0.9381) x4  3 U 2.70-2.84, 1 Nd 2.82
S (0.0000, 0.3549, 0.5537) x4  2 Nd 2.89, 3 U 2.92-3.13, 2 S 3.24

Output
Spin magnetization, μB/atom: 0.362
Formation energy (no corrections), eV/atom: -1.6425


No. 6
Below is a geometry-optimized YRu2Pt2 structure, with properties calculated at the PBE level.

Cell: 7.6195 7.6195 2.9554 Å, 90.00 90.00 90.00°
Closest atoms and distances in Å follow each position.
Space group P4/mbm (No. 127)
Unique sites:
Y (0.0000, 0.0000, 0.0000) x2  2 Y 2.96, 4 Ru 3.05, 8 Pt 3.16
Ru (0.1170, 0.3830, 0.0000) x4  1 Ru 2.52, 6 Pt 2.63-2.75
Pt (0.1811, 0.6811, 0.5000) x4  6 Ru 2.63-2.75

Output
Spin magnetization, μB/atom: 0.000
DFT formation energy, kJ/mol of atoms: -18


No. 7
Below is a geometry-optimized InPSe2 structure, with properties calculated at the PBE level.

Cell: 3.7424 3.7424 7.8625 Å, 90.00 90.00 90.00°
Closest atoms and distances in Å follow each position.
Space group P4/mmm (No. 123)
Unique sites:
In (0.0000, 0.0000, 0.0000) x1  4 P 2.65
P (0.5000, 0.5000, 0.0000) x1  4 In 2.65
Se (0.0000, 0.5000, 0.5000) x2  4 Se 2.65

Output
Spin magnetization, μB/atom: 0.090
Formation energy (no corrections), eV/atom: 0.3188


No. 8
Below is a geometry-optimized Dy7Ga2Te2 structure, with properties calculated at the PBE level.

Cell: 4.2779 15.0180 9.5262 Å, 90.00 90.00 90.00°
Closest atoms and distances in Å follow each position.
Space group Imm2 (No. 44)
Unique sites:
Dy (0.0000, 0.0000, 0.0000) x2  3 Te 3.28-3.29, 2 Ga 3.59, 4 Dy 3.65
Dy (0.0000, 0.1305, 0.5989) x4  2 Ga 2.97, 3 Te 3.11-3.19
Dy (0.0000, 0.3162, 0.3883) x4  3 Ga 2.93-3.16, 1 Te 3.10
Dy (0.0000, 0.3579, 0.7544) x4  2 Ga 3.01, 2 Te 3.14
Ga (0.0000, 0.2328, 0.0839) x4  7 Dy 2.93-3.16
Te (0.0000, 0.0000, 0.3451) x2  7 Dy 3.11-3.29
Te (0.0000, 0.5000, 0.2394) x2  8 Dy 3.10-3.28

Output
Spin magnetization, μB/atom: 0.000
Formation energy (no corrections), eV/atom: -0.7335


No. 9
Below is a geometry-optimized LaCoPt2 structure, with properties calculated at the PBE level.

Cell: 2.9542 2.9542 28.2085 Å, 90.00 90.00 120.00°
Closest atoms and distances in Å follow each position.
Space group R-3m (No. 166, hexagonal axes)
Unique sites:
La (0.0000, 0.0000, 0.0000) x3  6 La 2.95, 6 Pt 3.19
Co (0.0000, 0.0000, 0.5000) x3  6 Pt 2.64
Pt (0.0000, 0.0000, 0.2379) x6  3 Co 2.64

Output
Spin magnetization, μB/atom: 0.671
DFT formation energy, kJ/mol of atoms: 9


No. 10
Below is a geometry-optimized DyYMgAg structure, with properties calculated at the PBE level.

Cell: 3.7296 3.7296 7.3311 Å, 90.00 90.00 90.00°
Closest atoms and distances in Å follow each position.
Space group P4mm (No. 99)
Unique sites:
Dy (0.0000, 0.0000, 0.0000) x1  4 Ag 3.16, 4 Mg 3.25, 1 Y 3.53
Y (0.0000, 0.0000, 0.5180) x1  4 Ag 3.19, 4 Mg 3.25, 1 Dy 3.53
Mg (0.5000, 0.5000, 0.2583) x1  4 Dy 3.25, 4 Y 3.25, 1 Ag 3.63
Ag (0.5000, 0.5000, 0.7629) x1  4 Dy 3.16, 4 Y 3.19

Output
Spin magnetization, μB/atom: 0.000
DFT formation energy, kJ/mol of atoms: -19


No. 11
Below is a geometry-optimized CsRb2BeBr6 structure, with properties calculated at the PBE level.

Cell: 8.2531 8.2531 11.6635 Å, 90.00 90.00 90.00°
Closest atoms and distances in Å follow each position.
Space group I4/mmm (No. 139)
Unique sites:
Cs (0.0000, 0.0000, 0.0000) x2  6 Br 3.39
Rb (0.0000, 0.5000, 0.2500) x4  12 Br 4.15
Be (0.0000, 0.0000, 0.5000) x2  6 Br 2.44
Br (0.0000, 0.0000, 0.2910) x4  1 Be 2.44
Br (0.2092, 0.2092, 0.5000) x8  1 Be 2.44

Output
Spin magnetization, μB/atom: 0.100
Formation energy (no corrections), eV/atom: -1.1305


No. 12
Below is a geometry-optimized MgPb2Se structure, with properties calculated at the PBE level.

Cell: 7.0991 7.9198 3.7730 Å, 90.00 90.44 90.00°
Closest atoms and distances in Å follow each position.
Space group C2/m (No. 12)
Unique sites:
Mg (0.0000, 0.0000, 0.0000) x2  8 Pb 3.25-3.27, 2 Se 3.55
Pb (0.2500, 0.2500, 0.5000) x4  4 Se 3.25-3.27, 4 Mg 3.25-3.27, 2 Pb 3.55
Se (0.0000, 0.5000, 0.0000) x2  8 Pb 3.25-3.27, 2 Mg 3.55

Output
Spin magnetization, μB/atom: 0.000
Formation energy (no corrections), eV/atom: -0.1217


No. 13
Below is a geometry-optimized Pm2HoGe3Pd4 structure, with properties calculated at the PBE level.

Cell: 4.2730 4.2730 11.2599 Å, 90.00 90.00 90.00°
Closest atoms and distances in Å follow each position.
Space group P-4m2 (No. 115)
Unique sites:
Pm (0.0000, 0.5000, 0.2199) x2  4 Ge 3.21, 8 Pd 3.27-3.33
Ho (0.0000, 0.0000, 0.5000) x1  4 Pd 2.77, 4 Ge 3.02
Ge (0.0000, 0.5000, 0.8764) x2  5 Pd 2.47-2.55
Ge (0.5000, 0.5000, 0.5000) x1  4 Pd 2.77, 4 Ho 3.02
Pd (0.0000, 0.0000, 0.0000) x1  4 Ge 2.55
Pd (0.0000, 0.5000, 0.6566) x2  3 Ge 2.47-2.77, 2 Ho 2.77
Pd (0.5000, 0.5000, 0.0000) x1  4 Ge 2.55

Output
Spin magnetization, μB/atom: 0.000
DFT formation energy, kJ/mol of atoms: -81


No. 14
Below is a geometry-optimized K2LiLa structure, with properties calculated at the PBE level.

Cell: 4.0058 6.4353 13.8486 Å, 90.00 90.00 90.00°
Closest atoms and distances in Å follow each position.
Space group Cmmm (No. 65)
Unique sites:
K (0.0000, 0.0000, 0.2350) x4  6 K 3.79-4.01, 2 Li 3.82, 2 La 4.18
Li (0.0000, 0.5000, 0.0000) x2  6 Li 3.79-4.01, 4 K 3.82
La (0.0000, 0.5000, 0.5000) x2  6 La 3.79-4.01, 4 K 4.18

Output
Spin magnetization, μB/atom: 0.000
DFT formation energy, kJ/mol of atoms: 29


No. 15
Below is a geometry-optimized BaZr2Mo structure, with properties calculated at the PBE level.

Cell: 3.4497 4.5488 15.1343 Å, 90.00 90.00 90.00°
Closest atoms and distances in Å follow each position.
Space group Imm2 (No. 44)
Unique sites:
Ba (0.0000, 0.0000, 0.0000) x2  2 Ba 3.45, 2 Mo 3.51, 6 Zr 3.79-3.83
Zr (0.0000, 0.0000, 0.3351) x2  2 Mo 2.65
Zr (0.0000, 0.5000, 0.2037) x2  4 Mo 2.85, 2 Zr 3.02
Mo (0.0000, 0.5000, 0.7021) x2  6 Zr 2.65-2.85

Output
Spin magnetization, μB/atom: 0.000
DFT formation energy, kJ/mol of atoms: 53


No. 16
Below is a geometry-optimized NaMnC3 structure, with properties calculated at the PBE level.

Cell: 3.8436 3.8436 3.8436 Å, 90.00 90.00 90.00°
Closest atoms and distances in Å follow each position.
Space group Pm-3m (No. 221)
Unique sites:
Na (0.0000, 0.0000, 0.0000) x1  12 C 2.72
Mn (0.5000, 0.5000, 0.5000) x1  6 C 1.92
C (0.0000, 0.5000, 0.5000) x3  2 Mn 1.92

Output
Spin magnetization, μB/atom: 0.000
DFT formation energy, kJ/mol of atoms: 144


No. 17
Below is a geometry-optimized Er6ScIn2 structure, with properties calculated at the PBE level.

Cell: 12.4952 3.6485 11.6318 Å, 90.00 107.30 90.00°
Closest atoms and distances in Å follow each position.
Space group C2/m (No. 12)
Unique sites:
Er (0.0204, 0.0000, 0.3437) x4  2 In 3.23, 7 Er 3.47-3.52
Er (0.1735, 0.5000, 0.8795) x4  2 In 3.23, 5 Er 3.41-3.49, 2 Sc 3.43
Er (0.1899, 0.5000, 0.5895) x4  2 In 3.33, 10 Er 3.43-3.65
Sc (0.0000, 0.0000, 0.0000) x2  4 In 3.01
In (0.1417, 0.5000, 0.1904) x4  2 Sc 3.01, 6 Er 3.23-3.33

Output
Spin magnetization, μB/atom: 0.000
DFT formation energy, kJ/mol of atoms: -20